Compound: Sm12Zn6Pd
Source: Alexandria
Functional: PBE
Structure: relaxed

Calculated values
* density of states at the Fermi level: 26.29 states/eV per cell
* space group: R-3, No. 148
* energy relative to the elements: -5 meV/atom

a b c (Å): 8.502 8.502 8.502
angles (deg): 100.10 100.10 100.10
Sites, in units of the cell vectors:
Sm: 0.811 0.583 0.443
Sm: 0.443 0.811 0.583
Sm: 0.583 0.443 0.811
Sm: 0.189 0.417 0.557
Sm: 0.557 0.189 0.417
Sm: 0.417 0.557 0.189
Sm: 0.066 0.975 0.327
Sm: 0.025 0.673 0.934
Sm: 0.673 0.934 0.025
Sm: 0.934 0.025 0.673
Sm: 0.975 0.327 0.066
Sm: 0.327 0.066 0.975
Zn: 0.687 0.868 0.359
Zn: 0.641 0.313 0.132
Zn: 0.132 0.641 0.313
Zn: 0.313 0.132 0.641
Zn: 0.359 0.687 0.868
Zn: 0.868 0.359 0.687
Pd: 0.000 0.000 0.000